! PBE Ca2SbAu, relaxed; values from VASP
&SYSTEM
  ibrav = 0, nat = 8, ntyp = 3
/
ATOMIC_SPECIES
Sb 121.76 Sb.upf
Ca 40.08 Ca.upf
Au 196.97 Au.upf
ATOMIC_POSITIONS crystal
Sb 0.500 0.500 0.000
Sb 0.250 0.750 0.500
Ca 0.627 0.125 0.250
Ca 0.123 0.625 0.250
Ca 0.375 0.373 0.750
Ca 0.875 0.877 0.750
Au 0.000 0.000 0.000
Au 0.750 0.250 0.500
CELL_PARAMETERS angstrom
-0.136 6.126 1.530
-5.933 0.400 -2.129
-5.789 1.373 7.022
! spin magnetization = 0.00 μB per cell
! formation energy without anion corrections = -460 meV per atom
! crystal system = tetragonal

***

! PBE Ca3SbAu, relaxed; values from VASP
&SYSTEM
  ibrav = 0, nat = 5, ntyp = 3
/
ATOMIC_SPECIES
Sb 121.76 Sb.upf
Ca 40.08 Ca.upf
Au 196.97 Au.upf
ATOMIC_POSITIONS crystal
Sb 0.500 0.500 0.500
Ca 0.000 0.500 0.000
Ca 0.000 0.000 0.500
Ca 0.500 0.000 0.000
Au 0.000 0.000 0.000
CELL_PARAMETERS angstrom
-3.663 -4.196 0.287
1.786 -1.207 5.144
-3.808 3.470 2.136
! spin magnetization = 0.00 μB per cell
! offset from the most stable computed form = 319 meV per atom
! formation energy without anion corrections = -473 meV per atom
! crystal system = cubic

***

! PBE CaSb2Au2, relaxed; values from VASP
&SYSTEM
  ibrav = 0, nat = 5, ntyp = 3
/
ATOMIC_SPECIES
Sb 121.76 Sb.upf
Ca 40.08 Ca.upf
Au 196.97 Au.upf
ATOMIC_POSITIONS crystal
Sb 0.750 0.250 0.500
Sb 0.250 0.750 0.500
Ca 0.000 0.000 0.000
Au 0.397 0.397 0.206
Au 0.603 0.603 0.794
CELL_PARAMETERS angstrom
-1.239 -3.581 2.376
3.416 0.681 2.806
-2.677 2.292 6.268
! spin magnetization = 0.00 μB per cell
! formation energy without anion corrections = -402 meV per atom
! crystal system = tetragonal

***

! PBE Ca2SbAu6, relaxed; values from VASP
&SYSTEM
  ibrav = 0, nat = 9, ntyp = 3
/
ATOMIC_SPECIES
Ca 40.08 Ca.upf
Sb 121.76 Sb.upf
Au 196.97 Au.upf
ATOMIC_POSITIONS crystal
Ca 0.827 0.667 0.333
Ca 0.173 0.333 0.667
Sb 0.000 0.000 0.000
Au 0.325 0.378 0.189
Au 0.324 0.811 0.622
Au 0.325 0.811 0.189
Au 0.675 0.622 0.811
Au 0.676 0.189 0.378
Au 0.675 0.189 0.811
CELL_PARAMETERS angstrom
5.488 0.000 0.003
0.002 5.644 -3.255
-0.001 -0.002 6.518
! spin magnetization = 0.00 μB per cell
! formation energy without anion corrections = -528 meV per atom
! crystal system = trigonal

***

! PBE CaSb2Au3, relaxed; values from VASP
&SYSTEM
  ibrav = 0, nat = 12, ntyp = 3
/
ATOMIC_SPECIES
Ca 40.08 Ca.upf
Sb 121.76 Sb.upf
Au 196.97 Au.upf
ATOMIC_POSITIONS crystal
Ca 0.137 0.137 0.275
Ca 0.863 0.863 0.725
Sb 0.500 0.195 0.000
Sb 0.500 0.805 0.000
Sb 0.180 0.680 0.360
Sb 0.820 0.320 0.640
Au 0.690 0.470 0.381
Au 0.000 0.313 0.001
Au 0.310 0.091 0.620
Au 0.690 0.909 0.380
Au 0.000 0.687 0.999
Au 0.310 0.530 0.619
CELL_PARAMETERS angstrom
4.886 0.000 -1.436
-1.022 6.588 -3.476
-0.101 0.274 8.689
! spin magnetization = 0.00 μB per cell
! formation energy without anion corrections = -389 meV per atom
! crystal system = monoclinic

***

! PBE Ca2SbAu2, relaxed; values from VASP
&SYSTEM
  ibrav = 0, nat = 10, ntyp = 3
/
ATOMIC_SPECIES
Sb 121.76 Sb.upf
Ca 40.08 Ca.upf
Au 196.97 Au.upf
ATOMIC_POSITIONS crystal
Sb 0.000 0.000 0.000
Sb 0.500 0.500 0.000
Ca 0.175 0.675 0.500
Ca 0.675 0.825 0.500
Ca 0.825 0.325 0.500
Ca 0.325 0.175 0.500
Au 0.377 0.877 0.000
Au 0.877 0.623 0.000
Au 0.623 0.123 0.000
Au 0.123 0.377 0.000
CELL_PARAMETERS angstrom
-1.620 7.458 -2.729
-0.493 -2.875 -7.563
-3.711 -0.630 0.481
! spin magnetization = 0.00 μB per cell
! offset from the most stable computed form = 11 meV per atom
! formation energy without anion corrections = -768 meV per atom
! crystal system = tetragonal

***

! PBE Ca3SbAu2, relaxed; values from VASP
&SYSTEM
  ibrav = 0, nat = 12, ntyp = 3
/
ATOMIC_SPECIES
Ca 40.08 Ca.upf
Sb 121.76 Sb.upf
Au 196.97 Au.upf
ATOMIC_POSITIONS crystal
Ca 0.333 0.667 0.419
Ca 0.667 0.333 0.081
Ca 0.000 0.000 0.756
Ca 0.000 0.000 0.244
Ca 0.333 0.667 0.919
Ca 0.667 0.333 0.581
Sb 0.333 0.667 0.668
Sb 0.667 0.333 0.332
Au 0.000 0.000 0.500
Au 0.333 0.667 0.147
Au 0.667 0.333 0.853
Au 0.000 0.000 0.000
CELL_PARAMETERS angstrom
-4.611 -2.000 -1.344
3.659 0.763 -3.619
4.685 -12.246 2.154
! spin magnetization = 0.00 μB per cell
! formation energy without anion corrections = -862 meV per atom
! crystal system = trigonal

***

! PBE CaSb2Au2, relaxed; values from VASP
&SYSTEM
  ibrav = 0, nat = 10, ntyp = 3
/
ATOMIC_SPECIES
Sb 121.76 Sb.upf
Ca 40.08 Ca.upf
Au 196.97 Au.upf
ATOMIC_POSITIONS crystal
Sb 0.357 0.857 0.000
Sb 0.857 0.643 0.000
Sb 0.643 0.143 0.000
Sb 0.143 0.357 0.000
Ca 0.000 0.000 0.000
Ca 0.500 0.500 0.000
Au 0.161 0.661 0.500
Au 0.661 0.839 0.500
Au 0.839 0.339 0.500
Au 0.339 0.161 0.500
CELL_PARAMETERS angstrom
8.101 0.000 0.000
0.000 8.101 0.000
0.000 0.000 3.725
! spin magnetization = 0.00 μB per cell
! formation energy without anion corrections = -261 meV per atom
! crystal system = tetragonal

***

! PBE Ca2SbAu2, relaxed; values from VASP
&SYSTEM
  ibrav = 0, nat = 10, ntyp = 3
/
ATOMIC_SPECIES
Sb 121.76 Sb.upf
Ca 40.08 Ca.upf
Au 196.97 Au.upf
ATOMIC_POSITIONS crystal
Sb 0.000 0.000 0.000
Sb 0.500 0.500 0.000
Ca 0.335 0.835 0.000
Ca 0.835 0.665 0.000
Ca 0.665 0.165 0.000
Ca 0.165 0.335 0.000
Au 0.124 0.624 0.500
Au 0.624 0.876 0.500
Au 0.876 0.376 0.500
Au 0.376 0.124 0.500
CELL_PARAMETERS angstrom
-4.779 4.338 -5.475
-6.413 -0.095 5.523
1.203 3.156 1.451
! spin magnetization = 0.00 μB per cell
! offset from the most stable computed form = 166 meV per atom
! formation energy without anion corrections = -613 meV per atom
! crystal system = tetragonal

***

! PBE Ca2SbAu, relaxed; values from VASP
&SYSTEM
  ibrav = 0, nat = 4, ntyp = 3
/
ATOMIC_SPECIES
Sb 121.76 Sb.upf
Ca 40.08 Ca.upf
Au 196.97 Au.upf
ATOMIC_POSITIONS crystal
Sb 0.000 0.000 0.375
Ca 0.000 0.000 0.875
Ca 0.500 0.500 0.375
Au 0.500 0.500 0.875
CELL_PARAMETERS angstrom
-0.047 3.391 2.771
-0.195 -2.879 3.520
6.198 -0.117 0.248
! spin magnetization = 0.00 μB per cell
! formation energy without anion corrections = -777 meV per atom
! crystal system = orthorhombic

***

! PBE Ca4SbAu3, relaxed; values from VASP
&SYSTEM
  ibrav = 0, nat = 8, ntyp = 3
/
ATOMIC_SPECIES
Sb 121.76 Sb.upf
Ca 40.08 Ca.upf
Au 196.97 Au.upf
ATOMIC_POSITIONS crystal
Sb 0.500 0.000 0.000
Ca 0.372 0.372 0.744
Ca 0.628 0.628 0.256
Ca 0.128 0.128 0.256
Ca 0.872 0.872 0.744
Au 0.000 0.500 0.000
Au 0.753 0.253 0.507
Au 0.247 0.747 0.493
CELL_PARAMETERS angstrom
5.077 -0.002 -1.374
-0.366 5.069 -1.353
-0.524 -0.595 8.170
! spin magnetization = 0.00 μB per cell
! formation energy without anion corrections = -838 meV per atom
! crystal system = monoclinic

***

! PBE CaSb2Au6, relaxed; values from VASP
&SYSTEM
  ibrav = 0, nat = 18, ntyp = 3
/
ATOMIC_SPECIES
Ca 40.08 Ca.upf
Sb 121.76 Sb.upf
Au 196.97 Au.upf
ATOMIC_POSITIONS crystal
Ca 0.250 0.250 0.750
Ca 0.750 0.750 0.250
Sb 0.500 0.654 0.846
Sb 0.000 0.154 0.346
Sb 0.500 0.346 0.154
Sb 0.000 0.846 0.654
Au 0.439 0.698 0.544
Au 0.061 0.456 0.302
Au 0.561 0.302 0.456
Au 0.939 0.544 0.698
Au 0.271 0.905 0.405
Au 0.229 0.595 0.095
Au 0.729 0.095 0.595
Au 0.771 0.405 0.905
Au 0.062 0.801 0.956
Au 0.438 0.044 0.199
Au 0.938 0.199 0.044
Au 0.562 0.956 0.801
CELL_PARAMETERS angstrom
-7.531 0.610 2.204
-4.367 -0.250 -7.026
-1.223 -6.189 5.357
! spin magnetization = 0.00 μB per cell
! formation energy without anion corrections = -218 meV per atom
! crystal system = monoclinic